The following is a PBE-GGA calculation of a geometry-optimized PtSe2Cl structure, from Alexandria.

Calculated values
The value obtained for the energy relative to the elements, uncorrected is 0.27 eV/atom.

Cell: 5.4273 5.4273 5.3382 Å, 90.00 90.00 90.00°
Space group I4/mmm (No. 139)
Asymmetric unit:
Pt1 0.0000 0.0000 0.0000 x2
Se1 0.0000 0.5000 0.0000 x4
Cl1 0.0000 0.0000 0.5000 x2



The following is a PBE-GGA calculation of a geometry-optimized CaLaGd2 structure, from Alexandria.

Calculated values
The value obtained for the formation enthalpy at 0 K is 0.05 eV/atom.

Cell: 3.6805 3.6805 10.5363 Å, 90.00 90.00 90.00°
Space group P4/mmm (No. 123)
Asymmetric unit:
Ca1 0.0000 0.0000 0.0000 x1
La1 0.0000 0.0000 0.5000 x1
Gd1 0.5000 0.5000 0.2641 x2



no.,energy (eV per atom)
1,-3.44
2,-8.72